1.
# ZrRhBr

A PBEsol-optimized structure of ZrRhBr (meta-GGA SCAN, Alexandria).

calculated total energy	-28.257	eV per atom
calculated volume	52	Å³ per cell
formation energy from raw total energies	-0.280	eV/atom
size of the total moment	0.00	μB per cell

Cell and atoms, written as extended XYZ:
```
3
Lattice="4.419 0.000 0.000 -2.209 3.827 0.000 0.000 0.000 3.098" Properties=species:S:1:pos:R:3 pbc="T T T"
Zr 0.000 0.000 0.000
Rh 2.209 1.276 1.549
Br 0.000 2.551 1.549
```

2.
# ZrRh2Br

A PBEsol-optimized structure of ZrRh2Br (meta-GGA SCAN, Alexandria).

polymorph energy (0 for the lowest one)	0.362	eV/atom
calculated total energy	-29.444	eV per atom
calculated volume	66	Å³ per cell
formation energy from raw total energies	-0.019	eV/atom
size of the total moment	0.00	μB per cell

Cell and atoms, written as extended XYZ:
```
4
Lattice="-1.946 1.946 4.331 1.946 -1.946 4.331 1.946 1.946 -4.331" Properties=species:S:1:pos:R:3 pbc="T T T"
Zr 0.000 0.000 0.000
Rh 1.946 0.000 2.166
Rh 0.000 0.000 4.331
Br 0.000 1.946 2.166
```

3.
# ZrRh2Br

A PBEsol-optimized structure of ZrRh2Br (meta-GGA SCAN, Alexandria).

polymorph energy (0 for the lowest one)	0.000	eV/atom
calculated total energy	-29.807	eV per atom
calculated volume	69	Å³ per cell
formation energy from raw total energies	-0.381	eV/atom
size of the total moment	0.00	μB per cell

Cell and atoms, written as extended XYZ:
```
4
Lattice="3.322 0.000 0.000 0.000 3.322 0.000 0.000 0.000 6.264" Properties=species:S:1:pos:R:3 pbc="T T T"
Zr 0.000 0.000 0.000
Rh 1.661 1.661 1.394
Rh 1.661 1.661 4.870
Br 0.000 0.000 3.132
```

4.
# ZrRh2Br

A PBEsol-optimized structure of ZrRh2Br (meta-GGA SCAN, Alexandria).

polymorph energy (0 for the lowest one)	0.108	eV/atom
calculated total energy	-29.699	eV per atom
calculated volume	68	Å³ per cell
formation energy from raw total energies	-0.274	eV/atom
size of the total moment	0.00	μB per cell

Cell and atoms, written as extended XYZ:
```
4
Lattice="4.515 -1.634 0.000 4.515 1.634 0.000 -0.832 0.000 4.586" Properties=species:S:1:pos:R:3 pbc="T T T"
Zr 0.000 0.000 0.000
Rh 1.790 0.000 3.553
Rh 6.408 0.000 1.033
Br 4.099 0.000 2.293
```

> calculated total energy of number 1 (ZrRhBr)?

-28.257 eV per atom

> formation energy from raw total energies of number 2 (ZrRh2Br)?

-0.019 eV/atom

> The lowest calculated total energy belongs to which entry?

number 3

> The lowest formation energy from raw total energies belongs to which entry?

number 3